Computed, not measured: crystalline IrPb2W at its relaxed geometry at the PBE-GGA level of DFT.

POSCAR file:
```
IrPb2W
1.0
3.262 0.000 0.000
0.000 4.638 0.000
0.000 0.000 5.433
Ir Pb W
1 2 1
Direct
0.000 0.000 0.000
0.000 0.500 0.500
0.500 0.500 0.000
0.500 0.000 0.500
```

Results
- SG = Pmmm
- DOS(E_F) (states/eV per atom) = 1.020
- size of the total moment (Bohr magnetons per cell) = 0.4
- raw total energy (eV per atom) = -6.2679
- relative energy among the computed polymorphs (meV per atom) = 755